(1)
Compound: Pa2S2NO
Source: Alexandria
Functional: PBE-GGA
Structure: relaxed

Formation energy (no corrections) = -220 kJ per mole of atoms
V = 16.36 Å³ per atom

Lattice parameters (Å, degrees): 7.7175 7.7175 7.7175 138.87 59.46 139.01
Element x y z (fractional)
Pa: 0.0978 0.2394 0.3373
Pa: 0.4022 0.7394 0.1416
Pa: 0.5978 0.2606 0.8584
Pa: 0.9022 0.7606 0.6627
S: 0.1828 0.7474 0.9302
S: 0.3172 0.2474 0.5645
S: 0.6828 0.7526 0.4355
S: 0.8172 0.2526 0.0698
N: 0.2500 0.2500 0.0000
N: 0.7500 0.7500 0.0000
O: 0.2500 0.7500 0.5000
O: 0.7500 0.2500 0.5000

---

(2)
Compound: Tm2Si2Ni5
Source: Alexandria
Functional: PBE-GGA
Structure: relaxed

Formation energy (no corrections) = -61 kJ per mole of atoms
V = 14.43 Å³ per atom

Lattice parameters (Å, degrees): 3.9579 3.9579 8.2895 90.00 90.00 90.00
Element x y z (fractional)
Tm: 0.0000 0.0000 0.0000
Tm: 0.0000 0.0000 0.5000
Si: 0.5000 0.5000 0.1463
Si: 0.5000 0.5000 0.8537
Ni: 0.0000 0.5000 0.2767
Ni: 0.0000 0.5000 0.7233
Ni: 0.5000 0.0000 0.2767
Ni: 0.5000 0.0000 0.7233
Ni: 0.5000 0.5000 0.5000

---

(3)
Compound: SrY2As
Source: Alexandria
Functional: PBE-GGA
Structure: relaxed

ΔE_f = -409 meV per atom
V = 30.59 Å³ per atom

Lattice parameters (Å, degrees): 3.8961 5.1852 12.1120 90.00 90.00 90.00
Element x y z (fractional)
Sr: 0.0000 0.0000 0.0000
Sr: 0.5000 0.5000 0.5000
Y: 0.0000 0.0000 0.3892
Y: 0.0000 0.5000 0.1948
Y: 0.5000 0.0000 0.6948
Y: 0.5000 0.5000 0.8892
As: 0.0000 0.5000 0.7127
As: 0.5000 0.0000 0.2127

---

(4)
Compound: BaSc2Se
Source: Alexandria
Functional: PBE-GGA
Structure: relaxed

Formation energy (no corrections) = -17 kJ per mole of atoms
V = 27.74 Å³ per atom

Lattice parameters (Å, degrees): 4.6078 4.6078 5.2253 90.00 90.00 90.00
Element x y z (fractional)
Ba: 0.0000 0.0000 0.0000
Sc: 0.0000 0.5000 0.5000
Sc: 0.5000 0.0000 0.5000
Se: 0.5000 0.5000 0.0000

---

Among the records above, which one has the lowest V? Tm2Si2Ni5

---

The highest V belongs to which entry? SrY2As

---

Copy entry 3 word for word.
Compound: SrY2As
Source: Alexandria
Functional: PBE-GGA
Structure: relaxed

ΔE_f = -409 meV per atom
V = 30.59 Å³ per atom

Lattice parameters (Å, degrees): 3.8961 5.1852 12.1120 90.00 90.00 90.00
Element x y z (fractional)
Sr: 0.0000 0.0000 0.0000
Sr: 0.5000 0.5000 0.5000
Y: 0.0000 0.0000 0.3892
Y: 0.0000 0.5000 0.1948
Y: 0.5000 0.0000 0.6948
Y: 0.5000 0.5000 0.8892
As: 0.0000 0.5000 0.7127
As: 0.5000 0.0000 0.2127